[1]
Compound: Ac2RhC
Source: Alexandria
Functional: PBE
Structure: optimized geometry

The space group is R-3m (No. 166, hexagonal axes) and the conventional cell measures 3.8921, 3.8921 and 25.2082 Å, with angles of 90.00, 90.00 and 120.00 degrees. The distinct sites, in fractional coordinates, are Ac at (0.0000, 0.0000, 0.1056), Rh at (0.0000, 0.0000, 0.0000) and C at (0.0000, 0.0000, 0.5000).

The value obtained for the formation energy is 393 meV per atom. Its total magnetization is 0.000 μB/atom. The total energy comes out at -5.8055 eV per atom.


[2]
Compound: LaAlZn4Ga2
Source: Alexandria
Functional: PBE
Structure: optimized geometry

The space group is R-3m (No. 166, hexagonal axes) and the conventional cell measures 4.4623, 4.4623 and 26.4089 Å, with angles of 90.00, 90.00 and 120.00 degrees. The distinct sites, in fractional coordinates, are La at (0.0000, 0.0000, 0.0000), Al at (0.0000, 0.0000, 0.5000), Zn at (0.0000, 0.0000, 0.1324), Zn at (0.0000, 0.0000, 0.4008) and Ga at (0.0000, 0.0000, 0.2502).

The value obtained for the formation energy is -163 meV per atom. Its total magnetization is 0.000 μB/atom. The total energy comes out at -2.6404 eV per atom.


[3]
Compound: NdTm2Cu3
Source: Alexandria
Functional: PBE
Structure: optimized geometry

The space group is P4/mmm (No. 123) and the conventional cell measures 3.455, 3.455 and 10.516 Å, with angles of 90.00, 90.00 and 90.00 degrees. The distinct sites, in fractional coordinates, are Nd at (0.000, 0.000, 0.000), Tm at (0.000, 0.000, 0.339), Cu at (0.500, 0.500, 0.186) and Cu at (0.500, 0.500, 0.500).

The value obtained for the formation energy is -243 meV per atom. Its total magnetization is 0.000 μB/atom. The total energy comes out at -4.5762 eV per atom.


[4]
Compound: SmDy2Th
Source: Alexandria
Functional: PBE
Structure: optimized geometry

The space group is P4/mmm (No. 123) and the conventional cell measures 3.575, 3.575 and 10.115 Å, with angles of 90.00, 90.00 and 90.00 degrees. The distinct sites, in fractional coordinates, are Sm at (0.000, 0.000, 0.000), Dy at (0.500, 0.500, 0.258) and Th at (0.000, 0.000, 0.500).

The value obtained for the formation energy is 21 meV per atom. Its total magnetization is 0.000 μB/atom. The calculation puts the relative energy among the computed polymorphs at 10.0 meV/atom. The total energy comes out at -5.3149 eV per atom.